[1]
{
  "formula": "BaC",
  "functional": "PBE",
  "state": "optimized geometry",
  "e_above_lowest_polymorph_kj_per_mol_fu": 124.4,
  "ef_mev_per_atom": 723,
  "dos_at_fermi_per_ev_fu": 1.04,
  "lattice_angstrom": [[3.029, 0.000, 0.000], [0.000, 3.958, 0.000], [0.000, 1.950, 8.129]],
  "species": ["C", "C", "Ba", "Ba"],
  "frac_coords": [[0.750, 0.022, 0.956], [0.250, 0.978, 0.044], [0.750, 0.388, 0.227], [0.250, 0.612, 0.773]]
}

[2]
{
  "formula": "BaC2",
  "functional": "PBE",
  "state": "optimized geometry",
  "ef_mev_per_atom": 413,
  "dos_at_fermi_per_ev_fu": 0.00,
  "lattice_angstrom": [[-0.046, 0.882, -5.486], [-7.285, -2.694, -0.372], [-3.415, 9.030, 1.481]],
  "species": ["Ba", "Ba", "Ba", "Ba", "Ba", "Ba", "Ba", "Ba", "C", "C", "C", "C", "C", "C", "C", "C", "C", "C", "C", "C", "C", "C", "C", "C"],
  "frac_coords": [[0.250, 0.504, 0.820], [0.250, 0.004, 0.680], [0.750, 0.496, 0.180], [0.750, 0.996, 0.320], [0.250, 0.353, 0.404], [0.250, 0.853, 0.096], [0.750, 0.647, 0.596], [0.750, 0.147, 0.904], [0.250, 0.869, 0.408], [0.250, 0.369, 0.092], [0.750, 0.131, 0.592], [0.750, 0.631, 0.908], [0.250, 0.706, 0.502], [0.250, 0.206, 0.998], [0.750, 0.294, 0.498], [0.750, 0.794, 0.002], [0.392, 0.704, 0.364], [0.108, 0.204, 0.136], [0.892, 0.296, 0.636], [0.608, 0.796, 0.864], [0.608, 0.296, 0.636], [0.892, 0.796, 0.864], [0.108, 0.704, 0.364], [0.392, 0.204, 0.136]]
}

[3]
{
  "formula": "Ba7C5",
  "functional": "PBE",
  "state": "optimized geometry",
  "ef_mev_per_atom": 1477,
  "dos_at_fermi_per_ev_fu": 7.62,
  "lattice_angstrom": [[-8.685, 1.878, -3.725], [-4.515, -8.504, 0.368], [4.554, 4.635, 7.115]],
  "species": ["C", "C", "C", "C", "C", "Ba", "Ba", "Ba", "Ba", "Ba", "Ba", "Ba"],
  "frac_coords": [[0.787, 0.787, 0.000], [0.766, 0.181, 0.000], [0.181, 0.766, 0.000], [0.766, 0.766, 0.585], [0.181, 0.181, 0.415], [0.058, 0.058, 0.000], [0.551, 0.051, 0.500], [0.051, 0.551, 0.500], [0.840, 0.132, 0.292], [0.840, 0.547, 0.708], [0.547, 0.840, 0.708], [0.132, 0.840, 0.292]]
}

[4]
{
  "formula": "BaC4",
  "functional": "PBE",
  "state": "optimized geometry",
  "e_above_lowest_polymorph_kj_per_mol_fu": 0.7,
  "ef_mev_per_atom": 1347,
  "dos_at_fermi_per_ev_fu": 1.49,
  "lattice_angstrom": [[2.832, 3.935, -0.639], [-4.414, -0.174, 2.098], [2.670, -2.601, 3.165]],
  "species": ["Ba", "C", "C", "C", "C"],
  "frac_coords": [[0.000, 0.000, 0.000], [0.897, 0.475, 0.372], [0.475, 0.103, 0.577], [0.103, 0.525, 0.628], [0.525, 0.897, 0.423]]
}

Copy entry 1 word for word.
{
  "formula": "BaC",
  "functional": "PBE",
  "state": "optimized geometry",
  "e_above_lowest_polymorph_kj_per_mol_fu": 124.4,
  "ef_mev_per_atom": 723,
  "dos_at_fermi_per_ev_fu": 1.04,
  "lattice_angstrom": [[3.029, 0.000, 0.000], [0.000, 3.958, 0.000], [0.000, 1.950, 8.129]],
  "species": ["C", "C", "Ba", "Ba"],
  "frac_coords": [[0.750, 0.022, 0.956], [0.250, 0.978, 0.044], [0.750, 0.388, 0.227], [0.250, 0.612, 0.773]]
}

> What is the formula in the first record?

BaC